Record 1
Density functional theory data (GGA-PBEsol) for an optimized crystal structure of Ba2MgAuN. Values from VASP.

```
&SYSTEM
  ibrav = 0, nat = 5, ntyp = 4
/
ATOMIC_SPECIES
Ba 137.33 Ba.upf
Mg 24.30 Mg.upf
Au 196.97 Au.upf
N 14.01 N.upf
ATOMIC_POSITIONS crystal
Ba 0.0000 0.5000 0.0000
Ba 0.5000 0.0000 0.0000
Mg 0.0000 0.0000 0.5000
Au 0.5000 0.5000 0.5000
N 0.5000 0.5000 0.0000
CELL_PARAMETERS angstrom
5.7981 0.0000 0.0000
0.0000 5.7981 0.0000
0.0000 0.0000 4.0661
```

Output
Spin magnetization ... 0.00 μB per formula unit
DFT total energy ... -19.2 eV per cell
Formation energy without anion corrections ... -0.699 eV per formula unit

---

Record 2
Density functional theory data (GGA-PBEsol) for an optimized crystal structure of InAgP2. Values from VASP.

```
&SYSTEM
  ibrav = 0, nat = 4, ntyp = 3
/
ATOMIC_SPECIES
In 114.82 In.upf
Ag 107.87 Ag.upf
P 30.97 P.upf
ATOMIC_POSITIONS crystal
In 0.0000 0.0000 0.0000
Ag 0.5000 0.5000 0.0000
P 0.0000 0.5000 0.5000
P 0.5000 0.0000 0.5000
CELL_PARAMETERS angstrom
4.3509 0.0000 0.0000
0.0000 4.3509 0.0000
0.0000 0.0000 3.7659
```

Output
Spin magnetization ... 0.00 μB per formula unit
DFT total energy ... -16.0 eV per cell
DFT formation energy ... 458.2 meV per atom

---

Record 3
Density functional theory data (GGA-PBEsol) for an optimized crystal structure of NaNiGeRh2. Values from VASP.

```
&SYSTEM
  ibrav = 0, nat = 5, ntyp = 4
/
ATOMIC_SPECIES
Na 22.99 Na.upf
Ni 58.69 Ni.upf
Ge 72.64 Ge.upf
Rh 102.91 Rh.upf
ATOMIC_POSITIONS crystal
Na 0.0000 0.0000 0.0000
Ni 0.0000 0.0000 0.5000
Ge 0.5000 0.5000 0.0000
Rh 0.0000 0.5000 0.5000
Rh 0.5000 0.0000 0.5000
CELL_PARAMETERS angstrom
4.4393 0.0000 0.0000
0.0000 4.4393 0.0000
0.0000 0.0000 4.4887
```

Output
Spin magnetization ... 1.47 μB per formula unit
DFT total energy ... -24.1 eV per cell
DFT formation energy ... 931.9 meV per atom

---

Record 4
Density functional theory data (GGA-PBEsol) for an optimized crystal structure of Ni2RuWI. Values from VASP.

```
&SYSTEM
  ibrav = 0, nat = 5, ntyp = 4
/
ATOMIC_SPECIES
Ni 58.69 Ni.upf
Ru 101.07 Ru.upf
W 183.84 W.upf
I 126.90 I.upf
ATOMIC_POSITIONS crystal
Ni 0.0000 0.5000 0.0000
Ni 0.5000 0.0000 0.0000
Ru 0.0000 0.0000 0.5000
W 0.5000 0.5000 0.5000
I 0.0000 0.0000 0.0000
CELL_PARAMETERS angstrom
4.4122 0.0000 0.0000
0.0000 4.4122 0.0000
0.0000 0.0000 4.7728
```

Output
Spin magnetization ... 2.80 μB per formula unit
DFT total energy ... -27.8 eV per cell
Formation energy without anion corrections ... 10.269 eV per formula unit

---

Record 5
Density functional theory data (GGA-PBEsol) for an optimized crystal structure of ReSN2O. Values from VASP.

```
&SYSTEM
  ibrav = 0, nat = 5, ntyp = 4
/
ATOMIC_SPECIES
Re 186.21 Re.upf
S 32.06 S.upf
N 14.01 N.upf
O 16.00 O.upf
ATOMIC_POSITIONS crystal
Re 0.0000 0.0000 0.0000
S 0.0000 0.0000 0.5000
N 0.0000 0.5000 0.0000
N 0.5000 0.0000 0.0000
O 0.5000 0.5000 0.5000
CELL_PARAMETERS angstrom
3.7273 0.0000 0.0000
0.0000 3.7273 0.0000
0.0000 0.0000 4.8321
```

Output
Spin magnetization ... 0.68 μB per formula unit
DFT total energy ... -35.6 eV per cell
Formation energy without anion corrections ... 4.467 eV per formula unit

---

Record 6
Density functional theory data (GGA-PBEsol) for an optimized crystal structure of LaMg2. Values from VASP.

```
&SYSTEM
  ibrav = 0, nat = 6, ntyp = 2
/
ATOMIC_SPECIES
La 138.91 La.upf
Mg 24.30 Mg.upf
ATOMIC_POSITIONS crystal
La 0.0831 0.9169 0.7500
La 0.9169 0.0831 0.2500
Mg 0.2437 0.7563 0.2500
Mg 0.3994 0.6006 0.7500
Mg 0.6006 0.3994 0.2500
Mg 0.7563 0.2437 0.7500
CELL_PARAMETERS angstrom
2.4625 -6.4965 0.0000
2.4625 6.4965 0.0000
0.0000 0.0000 5.0396
```

Output
Spin magnetization ... 0.00 μB per formula unit
DFT total energy ... -18.0 eV per cell
DFT formation energy ... -65.9 meV per atom

---

Record 7
Density functional theory data (GGA-PBEsol) for an optimized crystal structure of ZnRe2PbW. Values from VASP.

```
&SYSTEM
  ibrav = 0, nat = 5, ntyp = 4
/
ATOMIC_SPECIES
Zn 65.41 Zn.upf
Re 186.21 Re.upf
Pb 207.20 Pb.upf
W 183.84 W.upf
ATOMIC_POSITIONS crystal
Zn 0.0000 0.0000 0.0000
Re 0.0000 0.5000 0.5000
Re 0.5000 0.0000 0.5000
Pb 0.0000 0.0000 0.5000
W 0.5000 0.5000 0.0000
CELL_PARAMETERS angstrom
4.9065 0.0000 0.0000
0.0000 4.9065 0.0000
0.0000 0.0000 4.5274
```

Output
Spin magnetization ... 0.75 μB per formula unit
DFT total energy ... -30.0 eV per cell
DFT formation energy ... 3205.8 meV per atom

---

Record 8
Density functional theory data (GGA-PBEsol) for an optimized crystal structure of CrRuBr. Values from VASP.

```
&SYSTEM
  ibrav = 0, nat = 3, ntyp = 3
/
ATOMIC_SPECIES
Cr 52.00 Cr.upf
Ru 101.07 Ru.upf
Br 79.90 Br.upf
ATOMIC_POSITIONS crystal
Cr 0.0000 0.0000 0.0000
Ru 0.2500 0.2500 0.2500
Br 0.7500 0.7500 0.7500
CELL_PARAMETERS angstrom
0.0000 2.8549 2.8549
2.8549 0.0000 2.8549
2.8549 2.8549 0.0000
```

Output
Spin magnetization ... 0.00 μB per formula unit
Relative energy among the computed polymorphs ... 52.9 meV/atom
DFT total energy ... -19.8 eV per cell
Formation energy without anion corrections ... 2.509 eV per formula unit

---

Record 9
Density functional theory data (GGA-PBEsol) for an optimized crystal structure of GePO2F. Values from VASP.

```
&SYSTEM
  ibrav = 0, nat = 5, ntyp = 4
/
ATOMIC_SPECIES
Ge 72.64 Ge.upf
P 30.97 P.upf
O 16.00 O.upf
F 19.00 F.upf
ATOMIC_POSITIONS crystal
Ge 0.0000 0.0000 0.0000
P 0.5000 0.5000 0.0000
O 0.0000 0.5000 0.5000
O 0.5000 0.0000 0.5000
F 0.5000 0.5000 0.5000
CELL_PARAMETERS angstrom
4.3308 0.0000 0.0000
0.0000 4.3308 0.0000
0.0000 0.0000 3.4057
```

Output
Spin magnetization ... 0.60 μB per formula unit
DFT total energy ... -20.5 eV per cell
Formation energy without anion corrections ... 2.704 eV per formula unit

---

Record 10
Density functional theory data (GGA-PBEsol) for an optimized crystal structure of KFe2Rh. Values from VASP.

```
&SYSTEM
  ibrav = 0, nat = 4, ntyp = 3
/
ATOMIC_SPECIES
K 39.10 K.upf
Fe 55.84 Fe.upf
Rh 102.91 Rh.upf
ATOMIC_POSITIONS crystal
K 0.0000 0.0000 0.0000
Fe 0.0000 0.5000 0.5000
Fe 0.5000 0.0000 0.5000
Rh 0.5000 0.5000 0.0000
CELL_PARAMETERS angstrom
2.7886 -4.4646 0.0000
2.7886 4.4646 0.0000
-0.8107 0.0000 2.4645
```

Output
Spin magnetization ... 6.30 μB per formula unit
Relative energy among the computed polymorphs ... 470.2 meV/atom
DFT total energy ... -22.8 eV per cell
DFT formation energy ... 1088.5 meV per atom

---

Record 11
Density functional theory data (GGA-PBEsol) for an optimized crystal structure of Ba3ZrGa. Values from VASP.

```
&SYSTEM
  ibrav = 0, nat = 5, ntyp = 3
/
ATOMIC_SPECIES
Ba 137.33 Ba.upf
Zr 91.22 Zr.upf
Ga 69.72 Ga.upf
ATOMIC_POSITIONS crystal
Ba 0.0000 0.0000 0.5000
Ba 0.0000 0.5000 0.0000
Ba 0.5000 0.0000 0.0000
Zr 0.5000 0.5000 0.5000
Ga 0.0000 0.0000 0.0000
CELL_PARAMETERS angstrom
6.2074 0.0000 0.0000
0.0000 6.2074 0.0000
0.0000 0.0000 6.2074
```

Output
Spin magnetization ... 4.02 μB per formula unit
DFT total energy ... -15.5 eV per cell
DFT formation energy ... 676.8 meV per atom

---

Record 12
Density functional theory data (GGA-PBEsol) for an optimized crystal structure of BeBPd2. Values from VASP.

```
&SYSTEM
  ibrav = 0, nat = 4, ntyp = 3
/
ATOMIC_SPECIES
Be 9.01 Be.upf
B 10.81 B.upf
Pd 106.42 Pd.upf
ATOMIC_POSITIONS crystal
Be 0.0000 0.0000 0.0000
B 0.5000 0.5000 0.5000
Pd 0.2500 0.2500 0.2500
Pd 0.7500 0.7500 0.7500
CELL_PARAMETERS angstrom
0.0000 2.7652 2.7652
2.7652 0.0000 2.7652
2.7652 2.7652 0.0000
```

Output
Spin magnetization ... 0.00 μB per formula unit
DFT total energy ... -23.4 eV per cell
DFT formation energy ... -118.9 meV per atom

---

Record 13
Density functional theory data (GGA-PBEsol) for an optimized crystal structure of TlTcAs2. Values from VASP.

```
&SYSTEM
  ibrav = 0, nat = 4, ntyp = 3
/
ATOMIC_SPECIES
Tl 204.38 Tl.upf
Tc 98.00 Tc.upf
As 74.92 As.upf
ATOMIC_POSITIONS crystal
Tl 0.0000 0.0000 0.0000
Tc 0.7649 0.2649 0.5000
As 0.3364 0.8364 0.5000
As 0.6490 0.6490 0.0000
CELL_PARAMETERS angstrom
-1.5352 1.6074 8.2731
1.5352 -1.6074 8.2731
1.5352 1.6074 -8.2731
```

Output
Spin magnetization ... 0.00 μB per formula unit
Relative energy among the computed polymorphs ... 0.0 meV/atom
DFT total energy ... -24.0 eV per cell
DFT formation energy ... 21.7 meV per atom